Entry 1:
Material: Na3Ca12H5
Method: DFT, PBE
State: optimized geometry

Geometry as POSCAR:
```
Na3Ca12H5
1.0
-5.6606 -7.8530 10.7726
14.1271 2.0622 2.4360
-6.7055 12.8199 -0.6686
Ca Na H
48 12 20
direct
0.6029 0.6047 0.4081
0.3971 0.3953 0.5919
0.3034 0.8953 0.9982
0.0018 0.6047 0.6966
0.0018 0.3971 0.8052
0.0919 0.1948 0.1966
0.6948 0.1966 0.5919
0.3953 0.9982 0.8034
0.8953 0.3034 0.4982
0.4982 0.6948 0.1029
0.6966 0.1047 0.0018
0.1966 0.6948 0.0919
0.5919 0.6966 0.6948
0.9081 0.1029 0.6047
0.8052 0.8971 0.0018
0.8034 0.4982 0.3953
0.3052 0.8034 0.4081
0.4982 0.8034 0.8953
0.1966 0.5018 0.6047
0.1029 0.9081 0.1047
0.3034 0.4081 0.8052
0.8034 0.3052 0.9081
0.6966 0.5919 0.1948
0.6029 0.9982 0.6948
0.6047 0.0018 0.1966
0.4081 0.3034 0.3052
0.6948 0.4982 0.6029
0.3052 0.5018 0.3971
0.5018 0.1966 0.1047
0.9982 0.3953 0.3034
0.5919 0.8953 0.3971
0.3971 0.0018 0.3052
0.8971 0.8052 0.5018
0.1948 0.1029 0.9982
0.1047 0.4081 0.1029
0.6047 0.6029 0.9081
0.8971 0.0919 0.8953
0.8953 0.5919 0.8971
0.1047 0.6966 0.5018
0.4081 0.1047 0.6029
0.9982 0.6029 0.1948
0.3953 0.3971 0.0919
0.5018 0.3052 0.8971
0.8052 0.9081 0.3034
0.9081 0.8052 0.8034
0.1029 0.1948 0.4982
0.1948 0.0919 0.6966
0.0919 0.8971 0.3953
0.3750 0.6250 0.2500
0.1250 0.2500 0.8750
0.8750 0.1250 0.2500
0.8750 0.7500 0.1250
0.7500 0.8750 0.6250
0.6250 0.2500 0.3750
0.2500 0.6250 0.8750
0.2500 0.1250 0.3750
0.7500 0.3750 0.1250
0.6250 0.3750 0.7500
0.1250 0.8750 0.7500
0.3750 0.7500 0.6250
0.2500 0.8750 0.1250
0.1250 0.3750 0.2500
0.0000 0.0000 0.0000
0.0000 0.5000 0.0000
0.5000 0.5000 0.5000
0.5000 0.0000 0.0000
0.7500 0.6250 0.3750
0.0000 0.0000 0.5000
0.7500 0.1250 0.8750
0.8750 0.2500 0.6250
0.6250 0.8750 0.2500
0.5000 0.0000 0.5000
0.0000 0.5000 0.5000
0.2500 0.3750 0.6250
0.3750 0.1250 0.7500
0.5000 0.5000 0.0000
0.1250 0.7500 0.3750
0.8750 0.6250 0.7500
0.6250 0.7500 0.8750
0.3750 0.2500 0.1250
```

Calculated values
Its total energy is -2.32 eV/atom. Its space-group type is Ia-3d (230).



Entry 2:
Material: NaCa2H2
Method: DFT, PBE
State: optimized geometry

Geometry as POSCAR:
```
NaCa2H2
1.0
-3.6907 -5.4283 -3.0810
2.1873 -4.4772 5.2679
-3.0129 0.9029 2.0183
Na Ca H
2 4 4
direct
0.0000 0.0000 0.0000
0.5000 0.5000 0.0000
0.1688 0.6688 0.5000
0.6688 0.8312 0.5000
0.3312 0.1688 0.5000
0.8312 0.3312 0.5000
0.1446 0.3554 0.0000
0.8554 0.6446 0.0000
0.3554 0.8554 0.0000
0.6446 0.1446 0.0000
```

Calculated values
Its total energy is -2.35 eV/atom. Its space-group type is P4/mbm (127).



Entry 3:
Material: NaCaH3
Method: DFT, PBE
State: optimized geometry

Geometry as POSCAR:
```
NaCaH3
1.0
4.3651 -0.0462 -0.0441
0.1544 4.3628 -0.0439
0.1545 0.1479 4.3605
H Ca Na
3 1 1
direct
0.6042 0.0606 0.6044
0.6042 0.6043 0.0606
0.0606 0.6043 0.6043
0.5587 0.5587 0.5587
0.9792 0.9791 0.9790
```

Calculated values
Its total energy is -2.97 eV/atom. Its space-group type is R3m (160).



Entry 4:
Material: NaCa3H
Method: DFT, PBE
State: optimized geometry

Geometry as POSCAR:
```
NaCa3H
1.0
6.1445 0.0000 0.0000
0.0000 6.1445 0.0000
0.0000 0.0000 6.1445
H Ca Na
1 3 1
direct
0.5000 0.5000 0.5000
0.0000 0.5000 0.0000
0.0000 0.0000 0.5000
0.5000 0.0000 0.0000
0.0000 0.0000 0.0000
```

Calculated values
Its total energy is -1.31 eV/atom. Its space-group type is Pm-3m (221).



Entry 5:
Material: NaCa3H3
Method: DFT, PBE
State: optimized geometry

Geometry as POSCAR:
```
NaCa3H3
1.0
6.6067 0.0000 0.0000
0.0000 6.6067 0.0000
0.0000 0.0000 6.6067
H Ca Na
6 6 2
direct
0.7500 0.0000 0.5000
0.0000 0.5000 0.2500
0.0000 0.5000 0.7500
0.5000 0.2500 0.0000
0.2500 0.0000 0.5000
0.5000 0.7500 0.0000
0.5000 0.0000 0.7500
0.7500 0.5000 0.0000
0.0000 0.2500 0.5000
0.0000 0.7500 0.5000
0.2500 0.5000 0.0000
0.5000 0.0000 0.2500
0.0000 0.0000 0.0000
0.5000 0.5000 0.5000
```

Calculated values
Its total energy is -2.72 eV/atom. Its space-group type is Pm-3n (223).



Entry 6:
Material: NaCa2H2
Method: DFT, PBE
State: optimized geometry

Geometry as POSCAR:
```
NaCa2H2
1.0
3.9541 0.0000 0.0000
0.0000 3.9541 0.0000
1.9770 1.9770 7.2286
H Ca Na
2 2 1
direct
0.7500 0.2500 0.5000
0.2500 0.7500 0.5000
0.6689 0.6689 0.6622
0.3311 0.3311 0.3378
0.0000 0.0000 0.0000
```

Calculated values
Its total energy is -2.71 eV/atom. Its space-group type is I4/mmm (139).



Entry 7:
Material: Na4CaH6
Method: DFT, PBE
State: optimized geometry

Geometry as POSCAR:
```
Na4CaH6
1.0
-1.6638 2.5670 -1.3292
-3.8534 -4.2251 0.8486
-3.0147 5.7295 14.8380
Na Ca H
8 2 12
direct
0.1382 0.2764 0.0445
0.4076 0.8153 0.3662
0.8618 0.7236 0.5445
0.4076 0.8153 0.1338
0.5924 0.1847 0.8662
0.5924 0.1847 0.6338
0.1382 0.2764 0.4555
0.8618 0.7236 0.9555
0.6677 0.3354 0.2500
0.3323 0.6646 0.7500
0.0624 0.1248 0.3279
0.5000 0.0000 0.5000
0.3029 0.6058 0.2500
0.9376 0.8752 0.6721
0.5000 0.0000 0.0000
0.0624 0.1248 0.1721
0.2304 0.4607 0.5944
0.7696 0.5393 0.4056
0.7696 0.5393 0.0944
0.2304 0.4607 0.9056
0.6971 0.3942 0.7500
0.9376 0.8752 0.8279
```

Calculated values
Its total energy is -2.77 eV/atom. Its space-group type is Cmcm (63).



Entry 8:
Material: NaCaH
Method: DFT, PBE
State: optimized geometry

Geometry as POSCAR:
```
NaCaH
1.0
3.3603 0.0000 0.0000
0.0000 3.3603 0.0000
-1.6802 -1.6802 6.7848
H Ca Na
1 1 1
direct
0.2604 0.2604 0.5207
0.7302 0.7302 0.4603
0.0095 0.0095 0.0190
```

Calculated values
Its total energy is -2.26 eV/atom. Its space-group type is I4mm (107).



Entry 9:
Material: NaCa4H10
Method: DFT, PBE
State: optimized geometry

Geometry as POSCAR:
```
NaCa4H10
1.0
3.8165 0.0000 0.4690
1.8795 3.3217 0.4690
0.1055 0.0615 14.9059
Ca H Na
4 10 1
direct
0.3946 0.3946 0.8163
0.7981 0.7981 0.6058
0.6054 0.6054 0.1837
0.2019 0.2019 0.3942
0.2534 0.2534 0.2397
0.3379 0.3379 0.9864
0.5520 0.5520 0.3441
0.0499 0.0499 0.8504
0.1491 0.1491 0.5526
0.7466 0.7466 0.7603
0.9501 0.9501 0.1496
0.4480 0.4480 0.6559
0.8509 0.8509 0.4474
0.6621 0.6621 0.0136
0.0000 0.0000 0.0000
```

Calculated values
Its total energy is -3.20 eV/atom. Its space-group type is R-3m (166).



Entry 10:
Material: Na5CaH7
Method: DFT, PBE
State: optimized geometry

Geometry as POSCAR:
```
Na5CaH7
1.0
-2.0725 2.6207 -0.1489
-1.9669 -3.9103 -3.8131
-10.8336 -7.7955 13.5827
Na H Ca
10 14 2
direct
0.0001 0.0001 0.5000
0.2766 0.5506 0.4239
0.0005 0.0011 0.0000
0.4549 0.9143 0.6519
0.2770 0.5514 0.0761
0.4551 0.9147 0.8481
0.7239 0.4505 0.9239
0.5454 0.0864 0.3481
0.7234 0.4496 0.5761
0.5456 0.0868 0.1520
0.4394 0.8760 0.2500
0.3654 0.7315 0.5368
0.9073 0.8116 0.1195
0.8020 0.6059 0.8162
0.0933 0.1894 0.6194
0.6352 0.2696 0.0369
0.6347 0.2686 0.4631
0.8016 0.6053 0.6838
0.5612 0.1252 0.7500
0.1989 0.3957 0.1838
0.1988 0.3955 0.3162
0.0937 0.1902 0.8805
0.3659 0.7325 0.9631
0.9069 0.8110 0.3805
0.8054 0.6083 0.2500
0.1952 0.3928 0.7500
```

Calculated values
Its total energy is -2.73 eV/atom. Its space-group type is P2_1/m (11).



Entry 11:
Material: NaCa2Ni3H12
Method: DFT, PBE
State: optimized geometry

Geometry as POSCAR:
```
NaCa2Ni3H12
1.0
-0.3897 -0.9138 5.8267
-3.8895 -4.0333 1.8820
2.1420 -5.0846 2.1205
H Ni Na Ca
12 3 1 2
direct
0.8727 0.8727 0.4301
0.5699 0.1273 0.1273
0.7120 0.7120 0.1153
0.4301 0.8727 0.8727
0.8847 0.2880 0.2880
0.1273 0.1273 0.5699
0.1273 0.5699 0.1273
0.7120 0.1153 0.7120
0.2880 0.2880 0.8847
0.8727 0.4301 0.8727
0.2880 0.8847 0.2880
0.1153 0.7120 0.7120
0.0000 0.5000 0.0000
0.0000 0.0000 0.5000
0.5000 0.0000 0.0000
0.0000 0.0000 0.0000
0.6154 0.6154 0.6154
0.3846 0.3846 0.3846
```

Calculated values
Its total energy is -3.69 eV/atom. Its space-group type is R-3m (166).



Entry 12:
Material: NaCaNiH4
Method: DFT, PBE
State: optimized geometry

Geometry as POSCAR:
```
NaCaNiH4
1.0
4.9299 0.0000 0.0000
0.0000 4.9154 0.0000
-2.4649 0.0000 6.1190
Ca H Na Ni
2 8 2 2
direct
0.1184 0.2500 0.2369
0.8816 0.7500 0.7631
0.0000 0.5000 0.5000
0.8981 0.2500 0.7962
0.1019 0.7500 0.2038
0.3898 0.7500 0.7796
0.0000 0.0000 0.5000
0.6102 0.2500 0.2204
0.5000 0.5000 0.5000
0.5000 0.0000 0.5000
0.3925 0.2500 0.7850
0.6075 0.7500 0.2150
0.7499 0.2500 0.4998
0.2501 0.7500 0.5002
```

Calculated values
Its total energy is -3.54 eV/atom. Its space-group type is Cmcm (63).



Entry 13:
Material: NaCa2NiH6
Method: DFT, PBE
State: optimized geometry

Geometry as POSCAR:
```
NaCa2NiH6
1.0
6.1421 0.0000 0.0000
0.0000 4.8883 0.0000
0.0000 -2.4441 4.2334
H Ca Na Ni
6 2 1 1
direct
0.1538 0.8416 0.1584
0.1538 0.3169 0.1584
0.8462 0.6831 0.8416
0.1538 0.8416 0.6831
0.8462 0.1584 0.8416
0.8462 0.1584 0.3169
0.1560 0.3333 0.6667
0.8440 0.6667 0.3333
0.5000 0.0000 0.0000
0.0000 0.0000 0.0000
```

Calculated values
Its total energy is -3.41 eV/atom. Its space-group type is P-3m1 (164).



Entry 14:
Material: NaCaSiHO4
Method: DFT, PBE
State: optimized geometry

Geometry as POSCAR:
```
NaCaSiHO4
1.0
-0.9230 -5.2161 -4.7398
-3.3946 -2.5350 3.4508
-5.3576 1.2997 -0.3870
Na H O Ca Si
2 2 8 2 2
direct
0.7659 0.3632 0.2578
0.2659 0.6368 0.7422
0.9992 0.9650 0.5318
0.4992 0.0350 0.4682
0.7613 0.7648 0.2977
0.2613 0.2352 0.7023
0.4506 0.2075 0.2962
0.5735 0.7931 0.7088
0.9506 0.7925 0.7038
0.0735 0.2069 0.2912
0.2632 0.6731 0.1944
0.7632 0.3269 0.8056
0.0144 0.0042 0.0068
0.5144 0.9958 0.9932
0.2550 0.3410 0.3734
0.7550 0.6590 0.6266
```

Calculated values
Its total energy is -6.43 eV/atom. Its space-group type is P2_1 (4).



Entry 15:
Material: NaCa2Si3HO9
Method: DFT, PBE
State: optimized geometry

Geometry as POSCAR:
```
NaCa2Si3HO9
1.0
-1.2838 -6.6611 -2.0592
6.9541 -1.4089 0.4726
-1.3686 -0.3519 7.9551
O Na Si Ca H
18 2 6 4 2
direct
0.5038 0.4609 0.8138
0.7033 0.9452 0.3299
0.3868 0.1721 0.0632
0.1047 0.8222 0.9408
0.2967 0.0548 0.6701
0.6132 0.8279 0.9368
0.8451 0.5427 0.1812
0.7867 0.1279 0.6521
0.4662 0.7285 0.6008
0.8094 0.6144 0.7365
0.1549 0.4573 0.8188
0.5338 0.2715 0.3992
0.1906 0.3856 0.2635
0.4962 0.5391 0.1862
0.2133 0.8721 0.3479
0.0897 0.7275 0.6050
0.8953 0.1778 0.0592
0.9103 0.2725 0.3950
0.2551 0.3408 0.5517
0.7449 0.6592 0.4483
0.2650 0.8551 0.5506
0.4011 0.3358 0.2184
0.9523 0.3456 0.2140
0.0477 0.6544 0.7860
0.5989 0.6642 0.7816
0.7350 0.1449 0.4494
0.4056 0.8561 0.1452
0.9161 0.8580 0.1531
0.0839 0.1420 0.8469
0.5944 0.1439 0.8548
0.3588 0.4693 0.8332
0.6412 0.5307 0.1668
```

Calculated values
Its total energy is -7.06 eV/atom. Its space-group type is P-1 (2).



Entry 16:
Material: NaCa2H6Os
Method: DFT, PBE
State: optimized geometry

Geometry as POSCAR:
```
NaCa2H6Os
1.0
6.3679 0.0000 0.0000
0.0000 5.0054 0.0000
0.0000 -2.5027 4.3348
H Ca Os Na
6 2 1 1
direct
0.1596 0.3229 0.1614
0.8404 0.1614 0.3229
0.1596 0.8386 0.1614
0.8404 0.6771 0.8386
0.1596 0.8386 0.6771
0.8404 0.1614 0.8386
0.8445 0.6667 0.3333
0.1555 0.3333 0.6667
0.0000 0.0000 0.0000
0.5000 0.0000 0.0000
```

Calculated values
Its total energy is -4.10 eV/atom. Its space-group type is P-3m1 (164).



Entry 17:
Material: Na2CaPH
Method: DFT, PBE
State: optimized geometry

Geometry as POSCAR:
```
Na2CaPH
1.0
4.3382 0.0000 0.0000
0.0000 4.3382 0.0000
0.0000 0.0000 4.8874
P H Ca Na
1 1 1 2
direct
0.5000 0.5000 0.5000
0.0000 0.0000 0.0000
0.0000 0.0000 0.5000
0.5000 0.0000 0.0000
0.0000 0.5000 0.0000
```

Calculated values
Its total energy is -3.18 eV/atom. Its space-group type is P4/mmm (123).